Entry 1:
Compound: K2CaPb
Source: the Alexandria database
Functional: GGA-PBEsol
Structure: optimized geometry

Calculated values
E_form = 0.04 eV per atom
Spin magnetization = 0.00 μB/atom
DOS(E_F) = 2.6 states/eV/cell

a b c (Å): 3.894 6.080 6.770
angles (deg): 90.00 90.00 90.00
Element x y z (fractional)
K (0.000, 0.000, 0.227)
K (0.000, 0.000, 0.773)
Ca (0.500, 0.500, 0.500)
Pb (0.500, 0.500, 0.000)

=====

Entry 2:
Compound: K2CaPb
Source: the Alexandria database
Functional: GGA-PBEsol
Structure: optimized geometry

Calculated values
E_form = 0.10 eV per atom
Spin magnetization = 0.00 μB/atom
DOS(E_F) = 4.5 states/eV/cell

a b c (Å): 3.798 3.798 11.816
angles (deg): 90.00 90.00 90.00
Element x y z (fractional)
K (0.000, 0.000, 0.208)
K (0.000, 0.000, 0.792)
Ca (0.500, 0.500, 0.500)
Pb (0.500, 0.500, 0.000)

=====

Entry 3:
Compound: KCaTcPb2
Source: the Alexandria database
Functional: GGA-PBEsol
Structure: optimized geometry

Calculated values
E_form = 1.52 eV per atom
Spin magnetization = 0.79 μB/atom
DOS(E_F) = 5.4 states/eV/cell

a b c (Å): 5.708 5.708 5.477
angles (deg): 90.00 90.00 90.00
Element x y z (fractional)
K (0.000, 0.000, 0.000)
Ca (0.000, 0.000, 0.500)
Tc (0.500, 0.500, 0.000)
Pb (0.000, 0.500, 0.500)
Pb (0.500, 0.000, 0.500)

=====

Entry 4:
Compound: K2CaYPb
Source: the Alexandria database
Functional: GGA-PBEsol
Structure: optimized geometry

Calculated values
E_form = 0.94 eV per atom
Spin magnetization = 0.03 μB/atom
DOS(E_F) = 5.8 states/eV/cell

a b c (Å): 5.938 5.938 6.068
angles (deg): 90.00 90.00 90.00
Element x y z (fractional)
K (0.000, 0.500, 0.000)
K (0.500, 0.000, 0.000)
Ca (0.000, 0.000, 0.000)
Y (0.000, 0.000, 0.500)
Pb (0.500, 0.500, 0.500)

=====

Entry 5:
Compound: KCa3Pd
Source: the Alexandria database
Functional: GGA-PBEsol
Structure: optimized geometry

Calculated values
E_form = -0.23 eV per atom
Spin magnetization = 0.00 μB/atom
DOS(E_F) = 3.4 states/eV/cell

a b c (Å): 5.722 5.722 5.722
angles (deg): 90.00 90.00 90.00
Element x y z (fractional)
K (0.000, 0.000, 0.000)
Ca (0.000, 0.500, 0.500)
Ca (0.500, 0.000, 0.500)
Ca (0.500, 0.500, 0.000)
Pd (0.500, 0.500, 0.500)

=====

Entry 6:
Compound: K2Ca2Pd
Source: the Alexandria database
Functional: GGA-PBEsol
Structure: optimized geometry

Calculated values
E_form = 0.40 eV per atom
Spin magnetization = 0.00 μB/atom
DOS(E_F) = 3.7 states/eV/cell

a b c (Å): 10.851 10.851 10.851
angles (deg): 157.90 157.90 31.45
Element x y z (fractional)
K (0.250, 0.750, 0.500)
K (0.750, 0.250, 0.500)
Ca (0.075, 0.075, 0.000)
Ca (0.925, 0.925, 0.000)
Pd (0.500, 0.500, 0.000)

=====

Entry 7:
Compound: KCa2Pd
Source: the Alexandria database
Functional: GGA-PBEsol
Structure: optimized geometry

Calculated values
E_form = 0.00 eV per atom
Spin magnetization = 0.00 μB/atom
DOS(E_F) = 2.0 states/eV/cell

a b c (Å): 5.409 5.409 5.409
angles (deg): 60.00 60.00 60.00
Element x y z (fractional)
K (0.000, 0.000, 0.000)
Ca (0.250, 0.250, 0.250)
Ca (0.750, 0.750, 0.750)
Pd (0.500, 0.500, 0.500)

=====

Entry 8:
Compound: K4CaPt
Source: the Alexandria database
Functional: GGA-PBEsol
Structure: optimized geometry

Calculated values
E_form = 0.58 eV per atom
Spin magnetization = 0.00 μB/atom
DOS(E_F) = 3.5 states/eV/cell

a b c (Å): 6.920 6.920 6.920
angles (deg): 60.00 60.00 60.00
Element x y z (fractional)
K (0.378, 0.378, 0.378)
K (0.378, 0.378, 0.866)
K (0.378, 0.866, 0.378)
K (0.866, 0.378, 0.378)
Ca (0.000, 0.000, 0.000)
Pt (0.750, 0.750, 0.750)

=====

Entry 9:
Compound: KCaPt2
Source: the Alexandria database
Functional: GGA-PBEsol
Structure: optimized geometry

Calculated values
E_form = -0.23 eV per atom
Spin magnetization = 0.00 μB/atom
DOS(E_F) = 1.0 states/eV/cell

a b c (Å): 3.078 3.078 8.724
angles (deg): 90.00 90.00 90.00
Element x y z (fractional)
K (0.000, 0.000, 0.000)
Ca (0.000, 0.000, 0.500)
Pt (0.500, 0.500, 0.279)
Pt (0.500, 0.500, 0.721)

=====

Entry 10:
Compound: KCa3Pt
Source: the Alexandria database
Functional: GGA-PBEsol
Structure: optimized geometry

Calculated values
E_form = -0.37 eV per atom
Spin magnetization = 0.00 μB/atom
DOS(E_F) = 3.0 states/eV/cell

a b c (Å): 5.686 5.686 5.686
angles (deg): 90.00 90.00 90.00
Element x y z (fractional)
K (0.000, 0.000, 0.000)
Ca (0.000, 0.500, 0.500)
Ca (0.500, 0.000, 0.500)
Ca (0.500, 0.500, 0.000)
Pt (0.500, 0.500, 0.500)

=====

Entry 11:
Compound: K2CaRe
Source: the Alexandria database
Functional: GGA-PBEsol
Structure: optimized geometry

Calculated values
E_form = 1.31 eV per atom
E above lowest polymorph = 0.91 eV/f.u.
Spin magnetization = 0.00 μB/atom
DOS(E_F) = 3.3 states/eV/cell

a b c (Å): 2.911 6.254 5.842
angles (deg): 90.00 90.61 90.00
Element x y z (fractional)
K (0.183, 0.000, 0.230)
K (0.817, 0.000, 0.770)
Ca (0.000, 0.500, 0.500)
Re (0.500, 0.500, 0.000)

=====

Entry 12:
Compound: K2CaRe
Source: the Alexandria database
Functional: GGA-PBEsol
Structure: optimized geometry

Calculated values
E_form = 1.45 eV per atom
E above lowest polymorph = 1.47 eV/f.u.
Spin magnetization = 0.70 μB/atom
DOS(E_F) = 5.1 states/eV/cell

a b c (Å): 5.602 5.602 5.602
angles (deg): 119.96 119.96 90.07
Element x y z (fractional)
K (0.000, 0.000, 0.000)
K (0.750, 0.250, 0.500)
Ca (0.250, 0.750, 0.500)
Re (0.500, 0.500, 0.000)

=====

Entry 13:
Compound: K2CaRe
Source: the Alexandria database
Functional: GGA-PBEsol
Structure: optimized geometry

Calculated values
E_form = 1.08 eV per atom
E above lowest polymorph = 0.00 eV/f.u.
Spin magnetization = 0.00 μB/atom
DOS(E_F) = 3.7 states/eV/cell

a b c (Å): 3.137 3.137 12.642
angles (deg): 90.00 90.00 90.00
Element x y z (fractional)
K (0.000, 0.000, 0.000)
K (0.500, 0.500, 0.332)
Ca (0.500, 0.500, 0.699)
Re (0.000, 0.000, 0.538)

=====

Entry 14:
Compound: K2CaRe
Source: the Alexandria database
Functional: GGA-PBEsol
Structure: optimized geometry

Calculated values
E_form = 1.47 eV per atom
E above lowest polymorph = 1.54 eV/f.u.
Spin magnetization = 0.74 μB/atom
DOS(E_F) = 5.3 states/eV/cell

a b c (Å): 4.583 4.583 6.074
angles (deg): 90.00 90.00 90.00
Element x y z (fractional)
K (0.000, 0.500, 0.000)
K (0.500, 0.000, 0.000)
Ca (0.000, 0.000, 0.500)
Re (0.500, 0.500, 0.500)

=====

Entry 15:
Compound: K2CaRe
Source: the Alexandria database
Functional: GGA-PBEsol
Structure: optimized geometry

Calculated values
E_form = 1.34 eV per atom
E above lowest polymorph = 1.05 eV/f.u.
Spin magnetization = 0.00 μB/atom
DOS(E_F) = 3.8 states/eV/cell

a b c (Å): 2.935 2.935 12.970
angles (deg): 90.00 90.00 90.00
Element x y z (fractional)
K (0.000, 0.000, 0.208)
K (0.000, 0.000, 0.792)
Ca (0.500, 0.500, 0.500)
Re (0.500, 0.500, 0.000)

=====

Entry 16:
Compound: K2CaRe
Source: the Alexandria database
Functional: GGA-PBEsol
Structure: optimized geometry

Calculated values
E_form = 1.33 eV per atom
E above lowest polymorph = 1.01 eV/f.u.
Spin magnetization = 0.00 μB/atom
DOS(E_F) = 3.7 states/eV/cell

a b c (Å): 7.121 7.121 2.926
angles (deg): 101.19 101.19 126.73
Element x y z (fractional)
K (0.000, 0.500, 0.000)
K (0.500, 0.000, 0.000)
Ca (0.000, 0.000, 0.500)
Re (0.500, 0.500, 0.500)

=====

Entry 17:
Compound: KCaRe2
Source: the Alexandria database
Functional: GGA-PBEsol
Structure: optimized geometry

Calculated values
E_form = 1.19 eV per atom
E above lowest polymorph = 0.00 eV/f.u.
Spin magnetization = 0.00 μB/atom
DOS(E_F) = 2.7 states/eV/cell

a b c (Å): 6.008 6.008 6.008
angles (deg): 148.21 139.13 52.69
Element x y z (fractional)
K (0.000, 0.000, 0.000)
Ca (0.500, 0.500, 0.000)
Re (0.254, 0.754, 0.500)
Re (0.746, 0.246, 0.500)

=====

Entry 18:
Compound: KCaRe2
Source: the Alexandria database
Functional: GGA-PBEsol
Structure: optimized geometry

Calculated values
E_form = 1.20 eV per atom
E above lowest polymorph = 0.04 eV/f.u.
Spin magnetization = 0.00 μB/atom
DOS(E_F) = 2.6 states/eV/cell

a b c (Å): 3.370 4.110 5.378
angles (deg): 90.00 90.00 90.00
Element x y z (fractional)
K (0.000, 0.000, 0.000)
Ca (0.500, 0.500, 0.000)
Re (0.000, 0.500, 0.500)
Re (0.500, 0.000, 0.500)

=====

Entry 19:
Compound: KCa2Rh
Source: the Alexandria database
Functional: GGA-PBEsol
Structure: optimized geometry

Calculated values
E_form = 0.13 eV per atom
Spin magnetization = 0.00 μB/atom
DOS(E_F) = 2.8 states/eV/cell

a b c (Å): 6.512 6.512 6.512
angles (deg): 145.06 122.78 68.82
Element x y z (fractional)
K (0.000, 0.000, 0.000)
Ca (0.326, 0.826, 0.500)
Ca (0.674, 0.174, 0.500)
Rh (0.500, 0.500, 0.000)

=====

Entry 20:
Compound: K2CaRh
Source: the Alexandria database
Functional: GGA-PBEsol
Structure: optimized geometry

Calculated values
E_form = 0.53 eV per atom
Spin magnetization = 0.00 μB/atom
DOS(E_F) = 2.5 states/eV/cell

a b c (Å): 6.586 6.586 6.586
angles (deg): 140.23 140.23 57.50
Element x y z (fractional)
K (0.250, 0.750, 0.500)
K (0.750, 0.250, 0.500)
Ca (0.000, 0.000, 0.000)
Rh (0.500, 0.500, 0.000)